This record from Alexandria describes an optimized crystal structure of MgFeF. The functional is PBE+U.

Output
Relative energy among the computed polymorphs: 0.091 eV/f.u.
Uncorrected energy: -50.93 eV per cell
Space-group type: C2/m

Cell: 5.084 3.112 11.748 Å, 90.00 100.78 90.00°
Element x y z (fractional)
Mg 0.071 0.000 0.299
Mg 0.429 0.500 0.701
Mg 0.571 0.500 0.299
Mg 0.929 0.000 0.701
Fe 0.146 0.500 0.911
Fe 0.354 0.000 0.089
Fe 0.646 0.000 0.911
Fe 0.854 0.500 0.089
F 0.233 0.000 0.614
F 0.267 0.500 0.386
F 0.733 0.500 0.614
F 0.767 0.000 0.386